No. 1
GGA-PBE Cd2TcTe, optimized geometry; total magnetic moment = 0.6 μB per formula unit; space group = No. 166; density of states at the Fermi level = 2.947 states/eV/cell; formation energy (no corrections) = 0.477 eV/atom
1.0
-9.415 5.676 1.762
-9.691 3.684 4.058
-8.076 6.244 4.445
Cd Tc Te
2 1 1
Cartesian
-13.981 8.026 5.280
-26.792 15.381 10.118
-6.796 3.901 2.566
-20.387 11.703 7.699



No. 2
GGA-PBE TaNi6Rh, optimized geometry; formation energy from the elements = 0.5213 eV per atom; total magnetic moment = 1.2 μB per formula unit; space group = No. 166; ΔE to the lowest computed polymorph = 658 meV/atom; density of states at the Fermi level = 9.212 states/eV/cell
1.0
-3.935 1.059 -2.388
-4.227 -1.023 1.841
-2.882 5.701 2.607
Ni Rh Ta
6 1 1
Cartesian
-3.507 1.274 1.674
-7.537 4.462 0.386
-9.603 3.962 1.286
-7.680 3.445 2.454
-1.441 1.774 0.774
-3.364 2.292 -0.394
-5.522 2.868 1.030
0.000 0.000 0.000



No. 3
GGA-PBE CaTm2Pb, optimized geometry; formation energy from the elements = -0.2028 eV per atom; total magnetic moment = 0.0 μB per formula unit; space group = No. 123; ΔE to the lowest computed polymorph = 0 meV/atom; density of states at the Fermi level = 4.460 states/eV/cell
1.0
4.854 0.000 0.000
0.000 4.892 0.000
0.000 0.000 4.892
Tm Ca Pb
2 1 1
Cartesian
0.000 0.000 2.446
0.000 2.446 0.000
2.427 2.446 2.446
2.427 0.000 0.000



No. 4
GGA-PBE CrCu2Ag, optimized geometry; formation energy from the elements = 0.6210 eV per atom; total magnetic moment = 4.4 μB per formula unit; space group = No. 122; ΔE to the lowest computed polymorph = 338 meV/atom; density of states at the Fermi level = 4.689 states/eV/cell
1.0
6.975 0.000 0.000
0.000 6.975 0.000
3.487 3.487 2.637
Cr Cu Ag
2 4 2
Cartesian
3.487 6.975 1.319
3.487 3.487 0.000
5.231 5.249 1.978
1.761 5.231 0.659
8.719 8.701 1.978
5.214 1.744 0.659
0.000 0.000 0.000
6.975 3.487 1.319



No. 5
GGA-PBE BaFeHg4, optimized geometry; formation energy from the elements = 0.2171 eV per atom; total magnetic moment = 2.5 μB per formula unit; space group = No. 216; density of states at the Fermi level = 9.549 states/eV/cell
1.0
0.000 4.329 4.329
4.329 0.000 4.329
4.329 4.329 0.000
Hg Ba Fe
4 1 1
Cartesian
5.420 3.238 5.420
3.238 3.238 3.238
5.420 5.420 3.238
3.238 5.420 5.420
6.494 6.494 6.494
0.000 0.000 0.000



No. 6
GGA-PBE Rb2SrTc, optimized geometry; formation energy from the elements = 1.2906 eV per atom; total magnetic moment = 2.8 μB per formula unit; space group = No. 225; ΔE to the lowest computed polymorph = 64 meV/atom; density of states at the Fermi level = 5.207 states/eV/cell
1.0
4.752 -0.551 4.122
0.069 -4.787 4.118
4.215 -4.658 -0.644
Tc Sr Rb
1 1 2
Cartesian
4.518 -4.998 3.798
0.000 0.000 0.000
6.777 -7.497 5.697
2.259 -2.499 1.899



No. 7
GGA-PBE LaZrAl, optimized geometry; formation energy from the elements = 0.1620 eV per atom; total magnetic moment = 0.0 μB per formula unit; space group = No. 216; ΔE to the lowest computed polymorph = 297 meV/atom; density of states at the Fermi level = 4.492 states/eV/cell
1.0
-1.912 -4.256 1.643
2.967 -3.844 0.944
0.790 -1.426 4.670
La Al Zr
1 1 1
Cartesian
0.000 0.000 0.000
1.384 -7.144 5.443
0.922 -4.763 3.629



No. 8
GGA-PBE NaPd2Pb7, optimized geometry; formation energy from the elements = 0.0106 eV per atom; total magnetic moment = 0.0 μB per formula unit; space group = No. 65; density of states at the Fermi level = 4.335 states/eV/cell
1.0
5.044 0.000 0.000
0.000 8.451 0.064
0.000 -3.670 7.613
Na Pb Pd
1 7 2
Cartesian
0.000 0.000 0.000
2.522 5.511 5.153
2.522 2.193 7.219
2.522 2.390 3.839
2.522 -0.730 2.525
2.522 2.588 0.458
0.000 -0.789 5.818
0.000 5.569 1.859
2.522 4.657 2.427
2.522 0.124 5.250



No. 9
GGA-PBE Pm3Sm4Y2, optimized geometry; formation energy from the elements = 0.0623 eV per atom; total magnetic moment = 0.0 μB per formula unit; space group = No. 156; ΔE to the lowest computed polymorph = 48 meV/atom; density of states at the Fermi level = 16.992 states/eV/cell
1.0
-2.876 0.678 2.120
0.940 -3.433 -0.746
15.885 -0.358 21.665
Sm Pm Y
4 3 2
Cartesian
1.813 -0.769 5.824
8.629 -0.195 11.769
5.303 -0.848 10.585
12.155 -0.274 16.577
8.789 -0.927 15.339
5.113 -0.115 6.973
15.603 -0.352 21.281
12.249 -1.005 20.058
-0.201 -0.724 3.078



No. 10
GGA-PBE Li3Cu4Ni4, optimized geometry; formation energy from the elements = 0.1056 eV per atom; total magnetic moment = 0.0 μB per formula unit; space group = No. 38; density of states at the Fermi level = 6.785 states/eV/cell
1.0
3.931 0.000 0.000
-1.965 4.379 0.000
0.000 0.000 7.761
Li Ni Cu
3 4 4
Cartesian
0.000 3.611 5.567
0.000 2.204 0.000
0.000 3.611 2.194
0.000 0.775 5.680
1.965 0.715 0.000
1.965 1.014 3.881
0.000 0.775 2.081
1.965 3.781 0.000
1.965 2.223 5.924
1.965 2.223 1.838
1.965 3.577 3.881



No. 11
GGA-PBE La2CuIr, optimized geometry; formation energy from the elements = -0.4388 eV per atom; total magnetic moment = 0.0 μB per formula unit; space group = No. 139; density of states at the Fermi level = 3.199 states/eV/cell
1.0
-1.741 -2.291 -4.234
2.166 -4.394 1.486
-2.823 -4.247 0.368
La Cu Ir
2 1 1
Cartesian
0.212 -3.342 -1.375
-4.564 -6.538 -3.865
-0.222 -5.991 0.240
-2.176 -4.940 -2.620



No. 12
GGA-PBE K2CoOs, optimized geometry; formation energy from the elements = 1.3405 eV per atom; total magnetic moment = 1.9 μB per formula unit; space group = No. 10; ΔE to the lowest computed polymorph = 591 meV/atom; density of states at the Fermi level = 2.985 states/eV/cell
1.0
5.617 0.000 0.000
0.000 2.677 0.027
0.000 0.651 5.195
Os Co K
1 1 2
Cartesian
2.809 0.832 1.305
2.809 2.496 3.916
0.000 1.783 2.635
0.000 3.209 5.197